Record 1
# KB2S

An optimized crystal structure of KB2S (GGA-PBE, the Alexandria database).

Summary:
Space-group type = I-42d
ΔE_f (raw) = 1.213 eV/atom
DOS(E_F) = 0.628 states/eV/atom

a b c (Å): 6.184 6.184 5.727
angles (deg): 57.32 57.32 90.00
Atoms (fractional coordinates):
K: 0.000 0.000 0.000
K: 0.750 0.250 0.500
B: 0.477 0.125 0.250
B: 0.273 0.625 0.250
B: 0.375 0.523 0.750
B: 0.875 0.727 0.750
S: 0.500 0.500 0.000
S: 0.250 0.750 0.500


Record 2
# K3BS

An optimized crystal structure of K3BS (GGA-PBE, the Alexandria database).

Summary:
Space-group type = Pm-3m
ΔE_f (raw) = 0.357 eV/atom
DOS(E_F) = 1.080 states/eV/atom

a b c (Å): 6.026 6.026 6.026
angles (deg): 90.00 90.00 90.00
Atoms (fractional coordinates):
K: 0.000 0.500 0.000
K: 0.000 0.000 0.500
K: 0.500 0.000 0.000
B: 0.500 0.500 0.500
S: 0.000 0.000 0.000